No. 1
# Mg4Ni3Sn8, optimized geometry, DFT GGA-PBE
data_Mg4Ni3Sn8
_chemical_formula_sum 'Mg4 Ni3 Sn8'
_space_group_name_H-M_alt 'P 1'
_space_group_IT_number 1
_space_group_name_Hall 'P 1'
_cell_length_a 4.3300
_cell_length_b 4.3300
_cell_length_c 17.6008
_cell_angle_alpha 90.00
_cell_angle_beta 90.00
_cell_angle_gamma 90.00
loop_
_atom_site_label
_atom_site_type_symbol
_atom_site_fract_x
_atom_site_fract_y
_atom_site_fract_z
Mg1 Mg 0.5000 0.0000 0.4030
Mg2 Mg 0.5000 0.0000 0.9062
Mg3 Mg 0.0000 0.5000 0.0938
Mg4 Mg 0.0000 0.5000 0.5970
Ni1 Ni 0.5000 0.5000 0.5000
Ni2 Ni 0.0000 0.0000 0.0000
Ni3 Ni 0.0000 0.0000 0.5000
Sn1 Sn 0.5000 0.0000 0.0793
Sn2 Sn 0.5000 0.0000 0.5865
Sn3 Sn 0.0000 0.5000 0.4135
Sn4 Sn 0.0000 0.5000 0.9207
Sn5 Sn 0.5000 0.5000 0.2209
Sn6 Sn 0.5000 0.5000 0.7791
Sn7 Sn 0.0000 0.0000 0.2682
Sn8 Sn 0.0000 0.0000 0.7318
# Calculated density: 6154 kg/m³
# Total energy: -3.861 eV/atom
# Energy of formation: -144 meV per atom
# N(E_F): 8.17 states/eV/f.u.
# Total moment: 0.0 Bohr magnetons per cell

=====

No. 2
# MgNiSn2, optimized geometry, DFT GGA-PBE
data_MgNiSn2
_chemical_formula_sum 'Mg1 Ni1 Sn2'
_space_group_name_H-M_alt 'P 1'
_space_group_IT_number 1
_space_group_name_Hall 'P 1'
_cell_length_a 3.4141
_cell_length_b 3.4141
_cell_length_c 9.4286
_cell_angle_alpha 79.57
_cell_angle_beta 79.57
_cell_angle_gamma 60.00
loop_
_atom_site_label
_atom_site_type_symbol
_atom_site_fract_x
_atom_site_fract_y
_atom_site_fract_z
Ni1 Ni 0.5000 0.5000 0.5000
Mg1 Mg 0.0000 0.0000 0.0000
Sn1 Sn 0.1048 0.1048 0.6857
Sn2 Sn 0.8952 0.8952 0.3143
# Calculated density: 5717 kg/m³
# Total energy: -3.834 eV/atom
# Energy of formation: 11 meV per atom
# N(E_F): 1.21 states/eV/f.u.
# Total moment: 0.0 Bohr magnetons per cell

=====

No. 3
# MgNi9Sn2, optimized geometry, DFT GGA-PBE
data_MgNi9Sn2
_chemical_formula_sum 'Mg1 Ni9 Sn2'
_space_group_name_H-M_alt 'P 1'
_space_group_IT_number 1
_space_group_name_Hall 'P 1'
_cell_length_a 4.8550
_cell_length_b 4.8550
_cell_length_c 8.4323
_cell_angle_alpha 73.27
_cell_angle_beta 73.27
_cell_angle_gamma 60.00
loop_
_atom_site_label
_atom_site_type_symbol
_atom_site_fract_x
_atom_site_fract_y
_atom_site_fract_z
Mg1 Mg 0.0000 0.0000 0.0000
Ni1 Ni 0.6664 0.6664 0.0007
Ni2 Ni 0.3336 0.3336 0.9993
Ni3 Ni 0.5000 0.5000 0.5000
Ni4 Ni 0.4154 0.4154 0.2496
Ni5 Ni 0.9196 0.4154 0.2496
Ni6 Ni 0.4154 0.9196 0.2496
Ni7 Ni 0.5846 0.5846 0.7504
Ni8 Ni 0.5846 0.0804 0.7504
Ni9 Ni 0.0804 0.5846 0.7504
Sn1 Sn 0.8652 0.8652 0.4045
Sn2 Sn 0.1348 0.1348 0.5955
# Calculated density: 8080 kg/m³
# Total energy: -5.191 eV/atom
# Energy of formation: -55 meV per atom
# N(E_F): 15.04 states/eV/f.u.
# Total moment: 2.0 Bohr magnetons per cell

=====

No. 4
# SrMg2NiSn, optimized geometry, DFT GGA-PBE
data_SrMg2NiSn
_chemical_formula_sum 'Sr1 Mg2 Ni1 Sn1'
_space_group_name_H-M_alt 'P 1'
_space_group_IT_number 1
_space_group_name_Hall 'P 1'
_cell_length_a 4.9768
_cell_length_b 4.9768
_cell_length_c 4.9554
_cell_angle_alpha 90.00
_cell_angle_beta 90.00
_cell_angle_gamma 90.00
loop_
_atom_site_label
_atom_site_type_symbol
_atom_site_fract_x
_atom_site_fract_y
_atom_site_fract_z
Sr1 Sr 0.5000 0.5000 0.5000
Mg1 Mg 0.0000 0.5000 0.0000
Mg2 Mg 0.5000 0.0000 0.0000
Sn1 Sn 0.0000 0.0000 0.5000
Ni1 Ni 0.0000 0.0000 0.0000
# Calculated density: 4243 kg/m³
# Total energy: -3.184 eV/atom
# Energy of formation: -253 meV per atom
# N(E_F): 2.67 states/eV/f.u.
# Total moment: 0.0 Bohr magnetons per cell

=====

No. 5
# Sr2MgNi4Sn3, optimized geometry, DFT GGA-PBE
data_Sr2MgNi4Sn3
_chemical_formula_sum 'Sr2 Mg1 Ni4 Sn3'
_space_group_name_H-M_alt 'P 1'
_space_group_IT_number 1
_space_group_name_Hall 'P 1'
_cell_length_a 4.5203
_cell_length_b 4.5203
_cell_length_c 10.3206
_cell_angle_alpha 90.00
_cell_angle_beta 90.00
_cell_angle_gamma 90.00
loop_
_atom_site_label
_atom_site_type_symbol
_atom_site_fract_x
_atom_site_fract_y
_atom_site_fract_z
Sr1 Sr 0.5000 0.0000 0.2403
Sr2 Sr 0.0000 0.5000 0.7597
Mg1 Mg 0.5000 0.5000 0.5000
Ni1 Ni 0.5000 0.5000 0.0000
Ni2 Ni 0.0000 0.0000 0.0000
Ni3 Ni 0.5000 0.0000 0.6301
Ni4 Ni 0.0000 0.5000 0.3699
Sn1 Sn 0.0000 0.0000 0.5000
Sn2 Sn 0.5000 0.0000 0.8800
Sn3 Sn 0.0000 0.5000 0.1200
# Calculated density: 6224 kg/m³
# Total energy: -4.371 eV/atom
# Energy of formation: -362 meV per atom
# N(E_F): 6.51 states/eV/f.u.
# Total moment: 0.0 Bohr magnetons per cell

=====

No. 6
# Mg2TaNiSn, optimized geometry, DFT GGA-PBE
data_Mg2TaNiSn
_chemical_formula_sum 'Mg2 Ta1 Ni1 Sn1'
_space_group_name_H-M_alt 'P 1'
_space_group_IT_number 1
_space_group_name_Hall 'P 1'
_cell_length_a 5.0843
_cell_length_b 4.5611
_cell_length_c 5.0843
_cell_angle_alpha 90.00
_cell_angle_beta 90.00
_cell_angle_gamma 90.00
loop_
_atom_site_label
_atom_site_type_symbol
_atom_site_fract_x
_atom_site_fract_y
_atom_site_fract_z
Ni1 Ni 0.0000 0.5000 0.0000
Mg1 Mg 0.0000 0.0000 0.5000
Mg2 Mg 0.5000 0.0000 0.0000
Sn1 Sn 0.0000 0.0000 0.0000
Ta1 Ta 0.5000 0.5000 0.5000
# Calculated density: 5732 kg/m³
# Total energy: -3.669 eV/atom
# Energy of formation: 1296 meV per atom
# N(E_F): 5.42 states/eV/f.u.
# Total moment: 0.0 Bohr magnetons per cell

=====

No. 7
# MgTa2NiSn, optimized geometry, DFT GGA-PBE
data_MgTa2NiSn
_chemical_formula_sum 'Mg1 Ta2 Ni1 Sn1'
_space_group_name_H-M_alt 'P 1'
_space_group_IT_number 1
_space_group_name_Hall 'P 1'
_cell_length_a 5.0878
_cell_length_b 4.8892
_cell_length_c 5.0878
_cell_angle_alpha 90.00
_cell_angle_beta 90.00
_cell_angle_gamma 90.00
loop_
_atom_site_label
_atom_site_type_symbol
_atom_site_fract_x
_atom_site_fract_y
_atom_site_fract_z
Ni1 Ni 0.5000 0.5000 0.5000
Mg1 Mg 0.0000 0.5000 0.0000
Sn1 Sn 0.0000 0.0000 0.0000
Ta1 Ta 0.0000 0.0000 0.5000
Ta2 Ta 0.5000 0.0000 0.0000
# Calculated density: 7395 kg/m³
# Total energy: -5.088 eV/atom
# Energy of formation: 1929 meV per atom
# N(E_F): 8.26 states/eV/f.u.
# Total moment: 0.0 Bohr magnetons per cell

=====

No. 8
# Tb2MgNi4Sn3, optimized geometry, DFT GGA-PBE
data_Tb2MgNi4Sn3
_chemical_formula_sum 'Tb2 Mg1 Ni4 Sn3'
_space_group_name_H-M_alt 'P 1'
_space_group_IT_number 1
_space_group_name_Hall 'P 1'
_cell_length_a 4.3250
_cell_length_b 4.3250
_cell_length_c 10.3253
_cell_angle_alpha 90.00
_cell_angle_beta 90.00
_cell_angle_gamma 90.00
loop_
_atom_site_label
_atom_site_type_symbol
_atom_site_fract_x
_atom_site_fract_y
_atom_site_fract_z
Tb1 Tb 0.5000 0.0000 0.2376
Tb2 Tb 0.0000 0.5000 0.7624
Mg1 Mg 0.5000 0.5000 0.5000
Ni1 Ni 0.5000 0.5000 0.0000
Ni2 Ni 0.0000 0.0000 0.0000
Ni3 Ni 0.5000 0.0000 0.6334
Ni4 Ni 0.0000 0.5000 0.3666
Sn1 Sn 0.0000 0.0000 0.5000
Sn2 Sn 0.5000 0.0000 0.8714
Sn3 Sn 0.0000 0.5000 0.1286
# Calculated density: 8022 kg/m³
# Total energy: -5.057 eV/atom
# Energy of formation: -458 meV per atom
# N(E_F): 7.96 states/eV/f.u.
# Total moment: 0.0 Bohr magnetons per cell